Density functional theory data (PBE) for crystalline Zn3CuTc at its relaxed geometry.

Calculated values
The offset from the most stable computed form comes out at 0 kJ/mol of formula units. For the uncorrected energy, the calculation gives -2.8543 eV per atom. The space group is Pm-3m. The calculation puts the calculated volume at 86 Å³/cell. For the energy of formation, the calculation gives 0.802 eV per atom.

Lattice parameters (Å, degrees): 4.4099 4.4099 4.4099 90.00 90.00 90.00
Last column: nearest neighbours and their distance in Å.
Fractional positions:
Zn  0.0000  0.5000  0.0000  2 Cu 2.20
Zn  0.5000  0.0000  0.0000  2 Cu 2.20
Zn  0.0000  0.0000  0.5000  2 Cu 2.20
Tc  0.5000  0.5000  0.5000  12 Zn 3.12
Cu  0.0000  0.0000  0.0000  6 Zn 2.20

***

Density functional theory data (PBE) for crystalline Li8Ca3La at its relaxed geometry.

Calculated values
For the uncorrected energy, the calculation gives -2.1642 eV per atom. The space group is P3m1. The calculation puts the calculated volume at 325 Å³/cell. For the energy of formation, the calculation gives 0.023 eV per atom.

Lattice parameters (Å, degrees): 6.1750 6.1750 9.8503 90.00 90.00 120.00
Last column: nearest neighbours and their distance in Å.
Fractional positions:
Li  0.3333  0.6667  0.5001  6 Li 3.03-3.05
Li  0.3333  0.6667  0.9951  6 Li 3.01-3.09
Li  0.5016  0.0032  0.7502  6 Li 3.01-3.12
Li  0.5016  0.4984  0.7502  6 Li 3.01-3.12
Li  0.9968  0.4984  0.7502  6 Li 3.01-3.12
Li  0.1670  0.3340  0.2512  6 Li 3.03-3.09
Li  0.1670  0.8330  0.2512  6 Li 3.03-3.09
Li  0.6660  0.8330  0.2512  6 Li 3.03-3.09
Ca  0.6667  0.3333  0.4386  12 Li 3.54-3.62, 1 Ca 3.71, 3 La 3.77
Ca  0.6667  0.3333  0.0622  12 Li 3.54-3.63, 4 Ca 3.71-3.77
Ca  0.0000  0.0000  0.9383  12 Li 3.56-3.61, 1 La 3.71, 3 Ca 3.77
La  0.0000  0.0000  0.5617  12 Li 3.54-3.62, 4 Ca 3.71-3.77

***

Density functional theory data (PBE) for crystalline CaTl2PdF6 at its relaxed geometry.

Calculated values
The value obtained for the formation energy without anion corrections is -2.1585 eV per atom. For the uncorrected energy, the calculation gives -4.4740 eV per atom. The space group is P-3m1. The calculation puts the calculated volume at 219 Å³/cell.

Lattice parameters (Å, degrees): 6.0614 6.4517 6.4517 120.00 90.00 90.00
Last column: nearest neighbours and their distance in Å.
Fractional positions:
Ca  0.5000  0.0000  0.0000  6 F 2.30
Tl  0.0265  0.3333  0.6667  3 F 2.61
Tl  0.9735  0.6667  0.3333  3 F 2.61
Pd  0.0000  0.0000  0.0000  6 F 2.21
F  0.7619  0.1495  0.2990  1 Pd 2.21, 1 Ca 2.30
F  0.7619  0.1495  0.8505  1 Pd 2.21, 1 Ca 2.30
F  0.7619  0.7010  0.8505  1 Pd 2.21, 1 Ca 2.30
F  0.2381  0.8505  0.1495  1 Pd 2.21, 1 Ca 2.30
F  0.2381  0.2990  0.1495  1 Pd 2.21, 1 Ca 2.30
F  0.2381  0.8505  0.7010  1 Pd 2.21, 1 Ca 2.30

***

Density functional theory data (PBE) for crystalline LiGe2Cl4 at its relaxed geometry.

Calculated values
The value obtained for the formation energy without anion corrections is -0.6601 eV per atom. For the uncorrected energy, the calculation gives -3.3080 eV per atom. The space group is I4/m. The calculation puts the calculated volume at 195 Å³/cell.

Lattice parameters (Å, degrees): 6.3416 6.3416 6.3416 112.58 112.58 103.43
Last column: nearest neighbours and their distance in Å.
Fractional positions:
Li  0.5000  0.5000  0.0000  4 Cl 2.48
Ge  0.2500  0.7500  0.5000  4 Cl 2.69
Ge  0.7500  0.2500  0.5000  4 Cl 2.69
Cl  0.3256  0.1947  0.5203  1 Li 2.48, 2 Ge 2.69
Cl  0.8053  0.3256  0.1309  1 Li 2.48, 2 Ge 2.69
Cl  0.1947  0.6744  0.8691  1 Li 2.48, 2 Ge 2.69
Cl  0.6744  0.8053  0.4797  1 Li 2.48, 2 Ge 2.69

***

Density functional theory data (PBE) for crystalline Ba2InCuO4 at its relaxed geometry.

Calculated values
The value obtained for the formation energy without anion corrections is -1.8758 eV per atom. For the uncorrected energy, the calculation gives -5.6899 eV per atom. The space group is P4/mmm. The calculation puts the calculated volume at 147 Å³/cell.

Lattice parameters (Å, degrees): 4.2165 4.2165 8.2598 90.00 90.00 90.00
Last column: nearest neighbours and their distance in Å.
Fractional positions:
Ba  0.5000  0.5000  0.7680  8 O 2.85-3.01
Ba  0.5000  0.5000  0.2320  8 O 2.85-3.01
In  0.0000  0.0000  0.0000  6 O 2.11-2.32
Cu  0.0000  0.0000  0.5000  2 O 1.81
O  0.0000  0.5000  0.0000  2 In 2.11
O  0.5000  0.0000  0.0000  2 In 2.11
O  0.0000  0.0000  0.7193  1 Cu 1.81
O  0.0000  0.0000  0.2807  1 Cu 1.81

***

Density functional theory data (PBE) for crystalline CsMgI2O at its relaxed geometry.

Calculated values
The offset from the most stable computed form comes out at 591 kJ/mol of formula units. The value obtained for the formation energy without anion corrections is 0.0787 eV per atom. For the uncorrected energy, the calculation gives -2.0226 eV per atom. The space group is P4/mmm. The calculation puts the calculated volume at 208 Å³/cell.

Lattice parameters (Å, degrees): 6.8701 6.8701 4.4108 90.00 90.00 90.00
Last column: nearest neighbours and their distance in Å.
Fractional positions:
Cs  0.0000  0.0000  0.0000  2 O 2.21
I  0.0000  0.5000  0.0000  2 Cs 3.44
I  0.5000  0.0000  0.0000  2 Cs 3.44
Mg  0.5000  0.5000  0.5000  8 I 4.08, 2 Mg 4.41
O  0.0000  0.0000  0.5000  2 Cs 2.21